Entry from Alexandria: a geometry-optimized ReHF2 structure (PBE).

Output
Calculated volume, Å³ per cell: 73.20
Energy, eV per atom: -4.7954
Energy above the lowest structure with this stoichiometry, meV per atom: 648

a b c (Å): 4.8488 4.8488 4.8488
angles (deg): 125.28 125.28 81.08
Positions (direct):
Re: 0.0000 0.0000 0.0000
Re: 0.7500 0.2500 0.5000
H: 0.2500 0.7500 0.5000
H: 0.5000 0.5000 0.0000
F: 0.2947 0.6250 0.1697
F: 0.3750 0.5447 0.6697
F: 0.4553 0.1250 0.8303
F: 0.8750 0.7053 0.3303